No. 1
Here is crystalline PuSbPb2 at its relaxed geometry from Alexandria. Energies are from PBE.

ΔE_f (raw) = -23 kJ/mol of atoms
Energy above the lowest structure with this stoichiometry = 0 meV per atom
Density of states at the Fermi level = 2.606 states/eV per atom

Unit cell a=5.028 b=4.722 c=4.722 alpha=90.00 beta=90.00 gamma=90.00
Positions (direct):
Pu1 0.500 0.500 0.500
Pb1 0.000 0.000 0.500
Pb2 0.000 0.500 0.000
Sb1 0.500 0.000 0.000

---

No. 2
Here is crystalline P3Rh2 at its relaxed geometry from Alexandria. Energies are from PBE.

Calculated formation energy = -0.18 eV per atom
Density of states at the Fermi level = 0.590 states/eV per atom

Unit cell a=3.888 b=3.888 c=5.824 alpha=90.00 beta=90.00 gamma=120.00
Positions (direct):
P1 0.333 0.667 0.371
P2 0.667 0.333 0.629
P3 0.000 0.000 0.000
Rh1 0.333 0.667 0.782
Rh2 0.667 0.333 0.218

---

No. 3
Here is crystalline KPIrCl2 at its relaxed geometry from Alexandria. Energies are from PBE.

ΔE_f (raw) = -47 kJ/mol of atoms
Energy above the lowest structure with this stoichiometry = 0 meV per atom
Density of states at the Fermi level = 0.304 states/eV per atom

Unit cell a=5.290 b=5.290 c=4.406 alpha=90.00 beta=90.00 gamma=90.00
Positions (direct):
Ir1 0.000 0.000 0.000
K1 0.500 0.500 0.500
P1 0.000 0.000 0.500
Cl1 0.500 0.000 0.000
Cl2 0.000 0.500 0.000

---

No. 4
Here is crystalline LiTlSnGe at its relaxed geometry from Alexandria. Energies are from PBE.

Calculated formation energy = -0.02 eV per atom
Density of states at the Fermi level = 0.145 states/eV per atom

Unit cell a=5.125 b=5.125 c=5.125 alpha=60.00 beta=60.00 gamma=60.00
Positions (direct):
Li1 0.750 0.750 0.750
Ge1 0.250 0.250 0.250
Tl1 0.500 0.500 0.500
Sn1 0.000 0.000 0.000

---

No. 5
Here is crystalline MnAg2GeAu at its relaxed geometry from Alexandria. Energies are from PBE.

Calculated formation energy = 0.79 eV per atom
Density of states at the Fermi level = 0.483 states/eV per atom

Unit cell a=4.925 b=4.580 c=4.925 alpha=90.00 beta=90.00 gamma=90.00
Positions (direct):
Au1 0.500 0.500 0.500
Ag1 0.000 0.000 0.500
Ag2 0.500 0.000 0.000
Mn1 0.000 0.000 0.000
Ge1 0.000 0.500 0.000

---

No. 6
Here is crystalline CaPm4Pr3 at its relaxed geometry from Alexandria. Energies are from PBE.

Calculated formation energy = 0.20 eV per atom
Density of states at the Fermi level = 1.598 states/eV per atom

Unit cell a=5.861 b=3.711 c=13.634 alpha=89.95 beta=102.41 gamma=90.00
Positions (direct):
Pr1 0.849 0.000 0.699
Pr2 0.151 0.000 0.301
Pr3 0.000 0.500 0.000
Pm1 0.724 0.501 0.448
Pm2 0.396 0.500 0.791
Pm3 0.604 0.500 0.209
Pm4 0.276 0.499 0.552
Ca1 0.500 0.000 0.000

---

No. 7
Here is crystalline Nd2Ho3Er6 at its relaxed geometry from Alexandria. Energies are from PBE.

Energy above the lowest structure with this stoichiometry = 0 meV per atom
Calculated formation energy = 0.19 eV per atom
Density of states at the Fermi level = 1.630 states/eV per atom

Unit cell a=6.069 b=6.076 c=11.646 alpha=84.98 beta=79.90 gamma=60.04
Positions (direct):
Er1 0.584 0.333 0.246
Er2 0.416 0.667 0.754
Er3 0.749 0.000 0.754
Er4 0.918 0.667 0.246
Er5 0.251 0.000 0.246
Er6 0.082 0.333 0.754
Ho1 0.335 0.330 0.000
Ho2 0.665 0.670 0.000
Ho3 0.000 0.000 0.000
Nd1 0.167 0.667 0.500
Nd2 0.833 0.333 0.500

---

No. 8
Here is crystalline CdHRh2 at its relaxed geometry from Alexandria. Energies are from PBE.

Energy above the lowest structure with this stoichiometry = 3 meV per atom
Density of states at the Fermi level = 1.057 states/eV per atom

Unit cell a=2.883 b=2.883 c=7.140 alpha=78.35 beta=78.35 gamma=60.00
Positions (direct):
H1 0.000 0.000 0.000
Rh1 0.279 0.279 0.164
Rh2 0.721 0.721 0.836
Cd1 0.500 0.500 0.500

---

No. 9
Here is crystalline Ga3CoSb at its relaxed geometry from Alexandria. Energies are from PBE.

ΔE_f (raw) = 8 kJ/mol of atoms
Density of states at the Fermi level = 1.046 states/eV per atom

Unit cell a=4.636 b=4.636 c=4.636 alpha=90.00 beta=90.00 gamma=90.00
Positions (direct):
Ga1 0.000 0.000 0.500
Ga2 0.500 0.000 0.000
Ga3 0.000 0.500 0.000
Co1 0.000 0.000 0.000
Sb1 0.500 0.500 0.500

---

No. 10
Here is crystalline Th2InCoAg at its relaxed geometry from Alexandria. Energies are from PBE.

Calculated formation energy = -0.27 eV per atom
Density of states at the Fermi level = 0.603 states/eV per atom

Unit cell a=3.815 b=8.257 c=8.148 alpha=109.85 beta=90.00 gamma=90.00
Positions (direct):
Co1 0.250 0.898 0.904
Co2 0.750 0.102 0.096
In1 0.250 0.680 0.327
In2 0.750 0.320 0.673
Th1 0.750 0.913 0.671
Th2 0.250 0.288 0.000
Th3 0.250 0.087 0.329
Th4 0.750 0.712 0.000
Ag1 0.750 0.423 0.351
Ag2 0.250 0.577 0.649

---

No. 11
Here is crystalline CaAlGaHg at its relaxed geometry from Alexandria. Energies are from PBE.

Calculated formation energy = -0.25 eV per atom
Density of states at the Fermi level = 0.375 states/eV per atom

Unit cell a=4.976 b=4.976 c=4.976 alpha=60.00 beta=60.00 gamma=60.00
Positions (direct):
Al1 0.750 0.750 0.750
Hg1 0.500 0.500 0.500
Ga1 0.000 0.000 0.000
Ca1 0.250 0.250 0.250

---

No. 12
Here is crystalline CsTlAs at its relaxed geometry from Alexandria. Energies are from PBE.

Energy above the lowest structure with this stoichiometry = 211 meV per atom
Calculated formation energy = -0.10 eV per atom
Density of states at the Fermi level = 0.538 states/eV per atom

Unit cell a=3.849 b=3.849 c=7.576 alpha=104.71 beta=104.71 gamma=90.00
Positions (direct):
Tl1 0.299 0.299 0.599
Cs1 0.010 0.010 0.020
As1 0.691 0.691 0.381

---

Among the records above, which one has the highest density of states at the Fermi level? PuSbPb2

---

Repeat the ninth record exactly.
Here is crystalline Ga3CoSb at its relaxed geometry from Alexandria. Energies are from PBE.

ΔE_f (raw) = 8 kJ/mol of atoms
Density of states at the Fermi level = 1.046 states/eV per atom

Unit cell a=4.636 b=4.636 c=4.636 alpha=90.00 beta=90.00 gamma=90.00
Positions (direct):
Ga1 0.000 0.000 0.500
Ga2 0.500 0.000 0.000
Ga3 0.000 0.500 0.000
Co1 0.000 0.000 0.000
Sb1 0.500 0.500 0.500

---

What is the density of states at the Fermi level in the second record? 0.590 states/eV per atom

---

What is the density of states at the Fermi level in the fifth record? 0.483 states/eV per atom